# 1
Computed, not measured: an optimized crystal structure of HgP2Pt at the GGA-PBE level of DFT.

Properties
- Energy of formation from the pure elements: -0.2082 eV per atom

a = 3.7958 Å, b = 3.7958 Å, c = 7.3632 Å
α = 104.91°, β = 104.91°, γ = 59.95°
Atoms (fractional coordinates):
Pt 0.7500 0.7500 0.7500
P 0.1322 0.1322 0.8975
P 0.3678 0.3678 0.6025
Hg 0.2500 0.2500 0.2500

---

# 2
Computed, not measured: an optimized crystal structure of Hg2P2Pt at the GGA-PBE level of DFT.

Properties
- Energy of formation from the pure elements: -0.1897 eV per atom

a = 5.8843 Å, b = 5.8843 Å, c = 6.4574 Å
α = 90.00°, β = 90.00°, γ = 90.00°
Atoms (fractional coordinates):
Hg 0.6842 0.1842 0.5000
Hg 0.8158 0.6842 0.5000
Hg 0.1842 0.3158 0.5000
Hg 0.3158 0.8158 0.5000
P 0.6266 0.1266 0.0000
P 0.8734 0.6266 0.0000
P 0.1266 0.3734 0.0000
P 0.3734 0.8734 0.0000
Pt 0.0000 0.0000 0.0000
Pt 0.5000 0.5000 0.0000

---

# 3
Computed, not measured: an optimized crystal structure of Hg2PPt at the GGA-PBE level of DFT.

Properties
- Energy of formation from the pure elements: 0.0132 eV per atom

a = 3.0918 Å, b = 3.0918 Å, c = 9.5109 Å
α = 90.00°, β = 90.00°, γ = 90.00°
Atoms (fractional coordinates):
Hg 0.5000 0.5000 0.2707
Hg 0.0000 0.0000 0.9612
Pt 0.5000 0.5000 0.6889
P 0.0000 0.0000 0.5792

---

# 4
Computed, not measured: an optimized crystal structure of HgP2Pt at the GGA-PBE level of DFT.

Properties
- Energy of formation from the pure elements: -0.1327 eV per atom

a = 3.7463 Å, b = 4.3424 Å, c = 5.1689 Å
α = 71.13°, β = 90.00°, γ = 90.00°
Atoms (fractional coordinates):
Hg 0.5000 0.7500 0.7500
Pt 0.5000 0.2500 0.2500
P 0.0000 0.5027 0.3903
P 0.0000 0.9973 0.1097

---

# 5
Computed, not measured: an optimized crystal structure of Hg2PPt at the GGA-PBE level of DFT.

Properties
- Energy of formation from the pure elements: 0.0668 eV per atom

a = 7.9459 Å, b = 7.9459 Å, c = 3.4462 Å
α = 79.03°, β = 79.03°, γ = 24.95°
Atoms (fractional coordinates):
Hg 0.3279 0.3279 0.8468
Hg 0.6721 0.6721 0.1532
P 0.5000 0.5000 0.5000
Pt 0.0000 0.0000 0.0000

---

# 6
Computed, not measured: an optimized crystal structure of HgPPt at the GGA-PBE level of DFT.

Properties
- Energy of formation from the pure elements: -0.1104 eV per atom

a = 6.0673 Å, b = 6.7747 Å, c = 6.5933 Å
α = 114.12°, β = 90.00°, γ = 90.00°
Atoms (fractional coordinates):
Pt 0.0511 0.3212 0.2926
Pt 0.4489 0.3212 0.7926
Pt 0.9489 0.6788 0.7074
Pt 0.5511 0.6788 0.2074
Hg 0.8685 0.1312 0.8449
Hg 0.3685 0.8688 0.6551
Hg 0.6315 0.1312 0.3449
Hg 0.1315 0.8688 0.1551
P 0.8950 0.6553 0.3465
P 0.1050 0.3447 0.6535
P 0.6050 0.6553 0.8465
P 0.3950 0.3447 0.1535

---

# 7
Computed, not measured: an optimized crystal structure of HgP2Pt at the GGA-PBE level of DFT.

Properties
- Energy of formation from the pure elements: 0.2727 eV per atom

a = 4.5384 Å, b = 4.5471 Å, c = 4.5406 Å
α = 68.92°, β = 73.76°, γ = 111.07°
Atoms (fractional coordinates):
P 0.0000 0.0000 0.0000
P 0.5000 0.0000 0.5000
Pt 0.0000 0.5000 0.5000
Hg 0.5000 0.5000 0.0000

---

# 8
Computed, not measured: an optimized crystal structure of Hg2PPt at the GGA-PBE level of DFT.

Properties
- Energy of formation from the pure elements: 0.3568 eV per atom

a = 3.9874 Å, b = 3.9874 Å, c = 10.4111 Å
α = 78.96°, β = 78.96°, γ = 90.00°
Atoms (fractional coordinates):
Pt 0.0000 0.0000 0.0000
Pt 0.7500 0.2500 0.5000
Hg 0.3750 0.3741 0.7500
Hg 0.6259 0.1250 0.2500
Hg 0.1241 0.6250 0.2500
Hg 0.8750 0.8759 0.7500
P 0.2500 0.7500 0.5000
P 0.5000 0.5000 0.0000

---

# 9
Computed, not measured: an optimized crystal structure of Hg2PPt at the GGA-PBE level of DFT.

Properties
- Energy of formation from the pure elements: 0.4177 eV per atom

a = 3.0020 Å, b = 3.0020 Å, c = 8.6240 Å
α = 90.00°, β = 90.00°, γ = 98.52°
Atoms (fractional coordinates):
Hg 0.0000 0.0000 0.7604
Hg 0.0000 0.0000 0.2396
Pt 0.5000 0.5000 0.0000
P 0.5000 0.5000 0.5000

---

# 10
Computed, not measured: an optimized crystal structure of HgP2Pt at the GGA-PBE level of DFT.

Properties
- Energy of formation from the pure elements: 0.2742 eV per atom

a = 5.8838 Å, b = 5.8838 Å, c = 5.8838 Å
α = 152.42°, β = 128.75°, γ = 59.18°
Atoms (fractional coordinates):
P 0.5458 0.5458 0.0000
P 0.9542 0.9542 0.0000
Hg 0.2500 0.7500 0.5000
Pt 0.7500 0.2500 0.5000

---

# 11
Computed, not measured: an optimized crystal structure of Hg2PPt at the GGA-PBE level of DFT.

Properties
- Energy of formation from the pure elements: 0.0896 eV per atom

a = 6.5662 Å, b = 6.5662 Å, c = 6.5662 Å
α = 154.08°, β = 137.16°, γ = 50.75°
Atoms (fractional coordinates):
P 0.5583 0.5583 0.0000
Hg 0.2760 0.7760 0.5000
Hg 0.9545 0.9545 0.0000
Pt 0.7112 0.2112 0.5000

---

# 12
Computed, not measured: an optimized crystal structure of Hg2PPt at the GGA-PBE level of DFT.

Properties
- Energy of formation from the pure elements: 0.4667 eV per atom

a = 4.7563 Å, b = 4.7563 Å, c = 4.7563 Å
α = 60.00°, β = 60.00°, γ = 60.00°
Atoms (fractional coordinates):
P 0.5000 0.5000 0.5000
Pt 0.2500 0.2500 0.2500
Hg 0.7500 0.7500 0.7500
Hg 0.0000 0.0000 0.0000